[1]
# PaIn2Pt2

PaIn2Pt2 after structural relaxation (PBE, Alexandria).

Structure (POSCAR):
```
PaIn2Pt2
1.0
5.034 0.000 0.000
0.000 4.542 0.000
-0.478 0.000 10.004
Pa In Pt
2 4 4
direct
0.183 0.250 0.154 Pa
0.817 0.750 0.846 Pa
0.265 0.250 0.502 In
0.302 0.250 0.801 In
0.698 0.750 0.199 In
0.735 0.750 0.498 In
0.204 0.750 0.335 Pt
0.313 0.750 0.974 Pt
0.687 0.250 0.026 Pt
0.796 0.250 0.665 Pt
```

crystal system = monoclinic
ΔH_f (0 K) = -667 meV/atom
calculated total energy = -6.08 eV/atom
symmetry = P2_1/m (11)

[2]
# PaInPt

PaInPt after structural relaxation (PBE, Alexandria).

Structure (POSCAR):
```
PaInPt
1.0
4.323 0.000 0.000
0.000 6.611 0.000
0.000 0.000 9.363
Pa In Pt
4 4 4
direct
0.000 0.000 0.160 Pa
0.000 0.000 0.840 Pa
0.500 0.500 0.340 Pa
0.500 0.500 0.660 Pa
0.000 0.221 0.500 In
0.000 0.779 0.500 In
0.500 0.279 0.000 In
0.500 0.721 0.000 In
0.000 0.500 0.150 Pt
0.000 0.500 0.850 Pt
0.500 0.000 0.350 Pt
0.500 0.000 0.650 Pt
```

crystal system = orthorhombic
ΔH_f (0 K) = -498 meV/atom
calculated total energy = -6.59 eV/atom
symmetry = Immm (71)

[3]
# Pa2InSi3Pt4

Pa2InSi3Pt4 after structural relaxation (PBE, Alexandria).

Structure (POSCAR):
```
Pa2InSi3Pt4
1.0
4.171 0.000 0.000
0.000 4.171 0.000
0.000 0.000 10.612
Pa In Si Pt
2 1 3 4
direct
0.000 0.500 0.237 Pa
0.500 0.000 0.763 Pa
0.000 0.000 0.500 In
0.000 0.500 0.876 Si
0.500 0.000 0.124 Si
0.500 0.500 0.500 Si
0.000 0.000 0.000 Pt
0.000 0.500 0.657 Pt
0.500 0.000 0.343 Pt
0.500 0.500 0.000 Pt
```

crystal system = tetragonal
calculated total energy = -7.04 eV/atom
E_form (uncorrected) = -0.8266 eV per atom
symmetry = P-4m2 (115)

[4]
# PaInTcPt

PaInTcPt after structural relaxation (PBE, Alexandria).

Structure (POSCAR):
```
PaInTcPt
1.0
6.798 0.000 0.000
0.000 6.798 0.000
0.000 0.000 6.798
Pa In Tc Pt
4 4 4 4
direct
0.000 0.000 0.000 Pa
0.000 0.500 0.500 Pa
0.500 0.000 0.500 Pa
0.500 0.500 0.000 Pa
0.000 0.000 0.500 In
0.000 0.500 0.000 In
0.500 0.000 0.000 In
0.500 0.500 0.500 In
0.250 0.250 0.750 Tc
0.250 0.750 0.250 Tc
0.750 0.250 0.250 Tc
0.750 0.750 0.750 Tc
0.250 0.250 0.250 Pt
0.250 0.750 0.750 Pt
0.750 0.250 0.750 Pt
0.750 0.750 0.250 Pt
```

crystal system = cubic
ΔH_f (0 K) = -326 meV/atom
calculated total energy = -7.49 eV/atom
symmetry = F-43m (216)